## LiTlPt2 (PBE)

Data for LiTlPt2 after structural relaxation.

Geometry as CIF:
```
data_LiTlPt2
_chemical_formula_sum 'Li1 Tl1 Pt2'
_cell_length_a 3.407
_cell_length_b 3.407
_cell_length_c 5.842
_cell_angle_alpha 90.00
_cell_angle_beta 90.00
_cell_angle_gamma 90.00
_space_group_name_H-M_alt 'P 4 m m'
_space_group_IT_number 99
_space_group_name_Hall 'P 4 -2'
loop_
_atom_site_label
_atom_site_fract_x
_atom_site_fract_y
_atom_site_fract_z
Li1 0.000 0.000 0.000
Tl1 0.500 0.500 0.719
Pt1 0.000 0.000 0.455
Pt2 0.500 0.500 0.194
```

## Properties
**ΔE_f**: -149 meV per atom
**Fermi-level density of states**: 0.707 states/eV per atom
**Energy**: -4.24 eV per atom

---

## LiTlPt2 (PBE)

Data for LiTlPt2 after structural relaxation.

Geometry as CIF:
```
data_LiTlPt2
_chemical_formula_sum 'Li3 Tl3 Pt6'
_cell_length_a 2.9617
_cell_length_b 2.9617
_cell_length_c 27.7544
_cell_angle_alpha 90.00
_cell_angle_beta 90.00
_cell_angle_gamma 120.00
_space_group_name_H-M_alt 'R 3 m'
_space_group_IT_number 160
_space_group_name_Hall 'R 3 -2"'
loop_
_atom_site_label
_atom_site_fract_x
_atom_site_fract_y
_atom_site_fract_z
Li1 0.0000 0.0000 0.0000
Tl1 0.0000 0.0000 0.2393
Pt1 0.0000 0.0000 0.4878
Pt2 0.0000 0.0000 0.7373
```

## Properties
**ΔE_f**: -36 meV per atom
**Fermi-level density of states**: 0.345 states/eV per atom
**Energy**: -4.13 eV per atom

---

## Li6Tl5Pt (PBE)

Data for Li6Tl5Pt after structural relaxation.

Geometry as CIF:
```
data_Li6Tl5Pt
_chemical_formula_sum 'Li12 Tl10 Pt2'
_cell_length_a 8.304
_cell_length_b 14.248
_cell_length_c 4.732
_cell_angle_alpha 90.00
_cell_angle_beta 124.60
_cell_angle_gamma 90.00
_space_group_name_H-M_alt 'C 1 2/m 1'
_space_group_IT_number 12
_space_group_name_Hall '-C 2y'
loop_
_atom_site_label
_atom_site_fract_x
_atom_site_fract_y
_atom_site_fract_z
Li1 0.224 0.000 0.224
Li2 0.233 0.155 0.733
Tl1 0.000 0.164 0.000
Tl2 0.000 0.333 0.500
Tl3 0.000 0.500 0.000
Pt1 0.000 0.000 0.500
```

## Properties
**ΔE_f**: -266 meV per atom
**Fermi-level density of states**: 0.362 states/eV per atom
**Energy**: -2.71 eV per atom